Record 1
A plane-wave DFT calculation with PBE was carried out for a relaxed TlPdPb crystal.

Properties
Distance to the lowest polymorph of the same formula ... 0.073 eV per atom
Space-group type ... Pnma (62)

POSCAR file:
```
TlPdPb
1.0
6.900 0.000 0.000
0.000 3.623 0.000
0.000 0.000 11.380
Pb Pd Tl
4 4 4
direct
0.868 0.750 0.112 Pb
0.368 0.750 0.388 Pb
0.632 0.250 0.612 Pb
0.132 0.250 0.888 Pb
0.615 0.250 0.248 Pd
0.115 0.250 0.252 Pd
0.885 0.750 0.748 Pd
0.385 0.750 0.752 Pd
0.365 0.750 0.100 Tl
0.865 0.750 0.400 Tl
0.135 0.250 0.600 Tl
0.635 0.250 0.900 Tl
```

Record 2
A plane-wave DFT calculation with PBE was carried out for a relaxed TlPdPb crystal.

Properties
Distance to the lowest polymorph of the same formula ... 0.339 eV per atom
Space-group type ... F-43m (216)

POSCAR file:
```
TlPdPb
1.0
-4.246 -2.361 0.559
-4.191 2.167 -1.288
-2.460 -1.571 -3.924
Pb Pd Tl
1 1 1
direct
0.000 0.000 0.000 Pb
0.250 0.250 0.250 Pd
0.750 0.750 0.750 Tl
```

Record 3
A plane-wave DFT calculation with PBE was carried out for a relaxed TlPdPb crystal.

Properties
Distance to the lowest polymorph of the same formula ... 0.000 eV per atom
Space-group type ... Fmmm (69)

POSCAR file:
```
TlPdPb
1.0
0.000 4.828 4.914
2.960 0.000 4.914
2.960 4.828 0.000
Pb Pd Tl
2 2 2
direct
0.838 0.838 0.162 Pb
0.162 0.162 0.838 Pb
0.250 0.250 0.250 Pd
0.750 0.750 0.750 Pd
0.334 0.666 0.334 Tl
0.666 0.334 0.666 Tl
```

Record 4
A plane-wave DFT calculation with PBE was carried out for a relaxed TlPdPb crystal.

Properties
Distance to the lowest polymorph of the same formula ... 0.007 eV per atom
Space-group type ... Ima2 (46)

POSCAR file:
```
TlPdPb
1.0
-2.960 3.442 3.446
2.960 -3.442 3.446
2.960 3.442 -3.446
Pb Pd Tl
2 2 2
direct
0.751 0.163 0.089 Pb
0.074 0.663 0.911 Pb
0.251 0.251 0.000 Pd
0.251 0.751 0.500 Pd
0.751 0.836 0.414 Tl
0.422 0.336 0.586 Tl
```

Record 5
A plane-wave DFT calculation with PBE was carried out for a relaxed TlPd3Pb5 crystal.

Properties
Final energy ... -4.1862 eV per atom
Space-group type ... P6/mmm (191)

POSCAR file:
```
TlPd3Pb5
1.0
5.711 0.000 0.000
-2.856 4.946 0.000
0.000 0.000 8.220
Pb Pd Tl
5 3 1
direct
0.667 0.333 0.205 Pb
0.333 0.667 0.205 Pb
0.000 0.000 0.500 Pb
0.667 0.333 0.795 Pb
0.333 0.667 0.795 Pb
0.500 0.000 0.500 Pd
0.000 0.500 0.500 Pd
0.500 0.500 0.500 Pd
0.000 0.000 0.000 Tl
```

Record 6
A plane-wave DFT calculation with PBE was carried out for a relaxed TlPdPb crystal.

Properties
Distance to the lowest polymorph of the same formula ... 0.052 eV per atom
Space-group type ... Pnma (62)

POSCAR file:
```
TlPdPb
1.0
-4.622 3.377 -5.373
-1.164 -3.525 -1.213
-6.998 0.197 6.144
Pb Pd Tl
4 4 4
direct
0.528 0.750 0.166 Pb
0.028 0.750 0.334 Pb
0.972 0.250 0.666 Pb
0.472 0.250 0.834 Pb
0.238 0.250 0.153 Pd
0.738 0.250 0.347 Pd
0.262 0.750 0.653 Pd
0.762 0.750 0.847 Pd
0.850 0.250 0.057 Tl
0.350 0.250 0.443 Tl
0.650 0.750 0.557 Tl
0.150 0.750 0.943 Tl
```

Record 7
A plane-wave DFT calculation with PBE was carried out for a relaxed Tm3Pd4Pb crystal.

Properties
Final energy ... -5.5427 eV per atom
Space-group type ... Pm (6)

POSCAR file:
```
Tm3Pd4Pb
1.0
-0.577 -5.028 -2.226
2.200 1.374 -3.672
5.938 -1.710 2.918
Pb Pd Tm
1 4 3
direct
0.645 0.500 0.678 Pb
0.338 0.500 0.044 Pd
0.856 0.000 0.448 Pd
0.156 0.500 0.541 Pd
0.648 0.000 0.966 Pd
0.860 0.500 0.179 Tm
0.363 0.000 0.324 Tm
0.132 0.000 0.820 Tm
```

Record 8
A plane-wave DFT calculation with PBE was carried out for a relaxed TmPd4Pb3 crystal.

Properties
Final energy ... -4.9967 eV per atom
Space-group type ... Pm (6)

POSCAR file:
```
TmPd4Pb3
1.0
-4.619 -2.951 -2.056
0.097 -2.616 3.538
-4.012 4.101 3.142
Pb Pd Tm
3 4 1
direct
0.143 0.000 0.177 Pb
0.617 0.500 0.330 Pb
0.866 0.500 0.826 Pb
0.660 0.000 0.037 Pd
0.158 0.500 0.475 Pd
0.838 0.000 0.527 Pd
0.345 0.500 0.952 Pd
0.373 0.000 0.676 Tm
```

Repeat the second record exactly.
A plane-wave DFT calculation with PBE was carried out for a relaxed TlPdPb crystal.

Properties
Distance to the lowest polymorph of the same formula ... 0.339 eV per atom
Space-group type ... F-43m (216)

POSCAR file:
```
TlPdPb
1.0
-4.246 -2.361 0.559
-4.191 2.167 -1.288
-2.460 -1.571 -3.924
Pb Pd Tl
1 1 1
direct
0.000 0.000 0.000 Pb
0.250 0.250 0.250 Pd
0.750 0.750 0.750 Tl
```